## Ce3PrTm2S6 (GGA-PBE)

Data for an optimized crystal structure of Ce3PrTm2S6.

Geometry as POSCAR:
```
Ce3PrTm2S6
1.0
3.437 -5.957 0.000
3.437 5.957 0.000
-2.298 0.000 6.540
Ce Pr Tm S
3 1 2 6
Cartesian
0.000 0.000 0.000
3.437 1.925 0.000
3.437 -1.925 0.000
2.288 0.000 3.270
2.288 3.966 3.270
2.288 -3.966 3.270
1.097 2.066 1.692
-0.099 0.000 4.813
1.097 -2.066 1.692
3.479 2.066 4.848
4.675 0.000 1.727
3.479 -2.066 4.848
```

space-group type: C2/m (12)
M_tot: 0.213 μB per atom
formation energy without anion corrections: -24.1 eV per formula unit